# PBE Rb2CrTe4As, relaxed
# SG = No. 74
# E_form (uncorrected) = -0.374 eV/atom
# magnetization = 5.928 μB/cell
data_Rb2CrTe4As
_symmetry_space_group_name_H-M 'P 1'
_symmetry_Int_Tables_number 1
_symmetry_space_group_name_Hall 'P 1'
_cell_length_a 9.068
_cell_length_b 9.068
_cell_length_c 9.068
_cell_angle_alpha 121.16
_cell_angle_beta 118.84
_cell_angle_gamma 90.01
loop_
_atom_site_label
_atom_site_type_symbol
_atom_site_fract_x
_atom_site_fract_y
_atom_site_fract_z
Rb1 Rb 0.000 0.000 0.000
Rb2 Rb 0.500 0.000 0.000
Rb3 Rb 0.500 0.000 0.500
Rb4 Rb 0.500 0.500 0.500
Cr1 Cr 0.000 0.000 0.500
Cr2 Cr 0.000 0.500 0.000
Te1 Te 0.179 0.733 0.446
Te2 Te 0.213 0.267 0.946
Te3 Te 0.220 0.257 0.536
Te4 Te 0.220 0.684 0.964
Te5 Te 0.780 0.316 0.036
Te6 Te 0.780 0.743 0.464
Te7 Te 0.787 0.733 0.054
Te8 Te 0.821 0.267 0.554
As1 As 0.000 0.500 0.500
As2 As 0.500 0.500 0.000


# PBE Li2CdSb, relaxed
# E above lowest polymorph = 1 meV/atom
# SG = No. 59
# Fermi-level density of states = 2.9 states/eV per cell
# E_form (uncorrected) = -0.403 eV/atom
# magnetization = 0.000 μB/cell
data_Li2CdSb
_symmetry_space_group_name_H-M 'P 1'
_symmetry_Int_Tables_number 1
_symmetry_space_group_name_Hall 'P 1'
_cell_length_a 4.926
_cell_length_b 6.421
_cell_length_c 5.019
_cell_angle_alpha 90.00
_cell_angle_beta 90.00
_cell_angle_gamma 90.00
loop_
_atom_site_label
_atom_site_type_symbol
_atom_site_fract_x
_atom_site_fract_y
_atom_site_fract_z
Li1 Li 0.250 0.000 0.209
Li2 Li 0.250 0.500 0.209
Li3 Li 0.750 0.000 0.791
Li4 Li 0.750 0.500 0.791
Cd1 Cd 0.250 0.250 0.709
Cd2 Cd 0.750 0.750 0.291
Sb1 Sb 0.250 0.750 0.724
Sb2 Sb 0.750 0.250 0.276


# PBE Mg2Be2Rh, relaxed
# energy of formation = -60 meV per atom
# SG = No. 127
# Fermi-level density of states = 4.8 states/eV per cell
# magnetization = 0.000 μB/cell
data_Mg2Be2Rh
_symmetry_space_group_name_H-M 'P 1'
_symmetry_Int_Tables_number 1
_symmetry_space_group_name_Hall 'P 1'
_cell_length_a 5.935
_cell_length_b 5.935
_cell_length_c 4.012
_cell_angle_alpha 90.00
_cell_angle_beta 90.00
_cell_angle_gamma 90.00
loop_
_atom_site_label
_atom_site_type_symbol
_atom_site_fract_x
_atom_site_fract_y
_atom_site_fract_z
Mg1 Mg 0.179 0.321 0.000
Mg2 Mg 0.321 0.821 0.000
Mg3 Mg 0.679 0.179 0.000
Mg4 Mg 0.821 0.679 0.000
Be1 Be 0.133 0.633 0.500
Be2 Be 0.367 0.133 0.500
Be3 Be 0.633 0.867 0.500
Be4 Be 0.867 0.367 0.500
Rh1 Rh 0.000 0.000 0.500
Rh2 Rh 0.500 0.500 0.500


# PBE YThTlCu, relaxed
# energy of formation = -104 meV per atom
# SG = No. 216
# Fermi-level density of states = 16.4 states/eV per cell
# magnetization = 3.092 μB/cell
data_YThTlCu
_symmetry_space_group_name_H-M 'P 1'
_symmetry_Int_Tables_number 1
_symmetry_space_group_name_Hall 'P 1'
_cell_length_a 7.461
_cell_length_b 7.461
_cell_length_c 7.461
_cell_angle_alpha 90.00
_cell_angle_beta 90.00
_cell_angle_gamma 90.00
loop_
_atom_site_label
_atom_site_type_symbol
_atom_site_fract_x
_atom_site_fract_y
_atom_site_fract_z
Y1 Y 0.000 0.000 0.000
Y2 Y 0.000 0.500 0.500
Y3 Y 0.500 0.000 0.500
Y4 Y 0.500 0.500 0.000
Th1 Th 0.000 0.000 0.500
Th2 Th 0.000 0.500 0.000
Th3 Th 0.500 0.000 0.000
Th4 Th 0.500 0.500 0.500
Tl1 Tl 0.250 0.250 0.250
Tl2 Tl 0.250 0.750 0.750
Tl3 Tl 0.750 0.250 0.750
Tl4 Tl 0.750 0.750 0.250
Cu1 Cu 0.250 0.250 0.750
Cu2 Cu 0.250 0.750 0.250
Cu3 Cu 0.750 0.250 0.250
Cu4 Cu 0.750 0.750 0.750


# PBE La2IrCl, relaxed
# E above lowest polymorph = 33 meV/atom
# SG = No. 160
# Fermi-level density of states = 5.1 states/eV per cell
# E_form (uncorrected) = -1.304 eV/atom
# magnetization = 0.000 μB/cell
data_La2IrCl
_symmetry_space_group_name_H-M 'P 1'
_symmetry_Int_Tables_number 1
_symmetry_space_group_name_Hall 'P 1'
_cell_length_a 4.172
_cell_length_b 4.172
_cell_length_c 23.470
_cell_angle_alpha 90.00
_cell_angle_beta 90.00
_cell_angle_gamma 120.00
loop_
_atom_site_label
_atom_site_type_symbol
_atom_site_fract_x
_atom_site_fract_y
_atom_site_fract_z
La1 La 0.000 0.000 0.000
La2 La 0.000 0.000 0.200
La3 La 0.333 0.667 0.667
La4 La 0.333 0.667 0.867
La5 La 0.667 0.333 0.333
La6 La 0.667 0.333 0.534
Ir1 Ir 0.000 0.000 0.600
Ir2 Ir 0.333 0.667 0.267
Ir3 Ir 0.667 0.333 0.934
Cl1 Cl 0.000 0.000 0.771
Cl2 Cl 0.333 0.667 0.438
Cl3 Cl 0.667 0.333 0.105


# PBE Li2AcGeS4, relaxed
# SG = No. 31
# Fermi-level density of states = 8.3 states/eV per cell
# E_form (uncorrected) = -1.183 eV/atom
# magnetization = 0.001 μB/cell
data_Li2AcGeS4
_symmetry_space_group_name_H-M 'P 1'
_symmetry_Int_Tables_number 1
_symmetry_space_group_name_Hall 'P 1'
_cell_length_a 9.073
_cell_length_b 6.116
_cell_length_c 6.585
_cell_angle_alpha 90.00
_cell_angle_beta 90.00
_cell_angle_gamma 90.00
loop_
_atom_site_label
_atom_site_type_symbol
_atom_site_fract_x
_atom_site_fract_y
_atom_site_fract_z
Li1 Li 0.245 0.244 0.000
Li2 Li 0.255 0.756 0.500
Li3 Li 0.745 0.756 0.500
Li4 Li 0.755 0.244 0.000
Ac1 Ac 0.000 0.339 0.472
Ac2 Ac 0.500 0.661 0.972
Ge1 Ge 0.000 0.761 0.983
Ge2 Ge 0.500 0.239 0.483
S1 S 0.000 0.122 0.072
S2 S 0.000 0.835 0.605
S3 S 0.204 0.603 0.168
S4 S 0.296 0.397 0.668
S5 S 0.500 0.165 0.105
S6 S 0.500 0.878 0.572
S7 S 0.704 0.397 0.668
S8 S 0.796 0.603 0.168